## GdInRh (PBE)

Data for a geometry-optimized GdInRh structure.

Cell lengths 7.5733, 7.5733, 3.9569 Å; angles 90.00, 90.00, 120.00 degrees
Closest atoms and distances in Å follow each position.
Atoms (fractional coordinates):
Gd 0.0000 0.5931 0.0000  5 Rh 3.03-3.08, 6 In 3.23-3.35
Gd 0.4069 0.4069 0.0000  5 Rh 3.03-3.08, 6 In 3.23-3.35
Gd 0.5931 0.0000 0.0000  5 Rh 3.03-3.08, 6 In 3.23-3.35
In 0.0000 0.2557 0.5000  4 Rh 2.77-2.86
In 0.2557 0.0000 0.5000  4 Rh 2.77-2.86
In 0.7443 0.7443 0.5000  4 Rh 2.77-2.86
Rh 0.0000 0.0000 0.0000  6 In 2.77, 3 Gd 3.08
Rh 0.3333 0.6667 0.5000  3 In 2.86, 6 Gd 3.03
Rh 0.6667 0.3333 0.5000  3 In 2.86, 6 Gd 3.03

## GdIn2Rh (PBE)

Data for a geometry-optimized GdIn2Rh structure.

Cell lengths 4.3712, 10.1362, 8.0603 Å; angles 90.00, 90.00, 90.00 degrees
Closest atoms and distances in Å follow each position.
Atoms (fractional coordinates):
Gd 0.0000 0.0670 0.2500  3 Rh 2.88-3.09
Gd 0.0000 0.9330 0.7500  3 Rh 2.88-3.09
Gd 0.5000 0.4330 0.7500  3 Rh 2.88-3.09
Gd 0.5000 0.5670 0.2500  3 Rh 2.88-3.09
In 0.0000 0.3553 0.0506  3 Rh 2.80-2.81, 1 In 3.04
In 0.0000 0.3553 0.4494  3 Rh 2.80-2.81, 1 In 3.04
In 0.0000 0.6447 0.5506  3 Rh 2.80-2.81, 1 In 3.04
In 0.0000 0.6447 0.9494  3 Rh 2.80-2.81, 1 In 3.04
In 0.5000 0.1447 0.5506  3 Rh 2.80-2.81, 1 In 3.04
In 0.5000 0.1447 0.9494  3 Rh 2.80-2.81, 1 In 3.04
In 0.5000 0.8553 0.0506  3 Rh 2.80-2.81, 1 In 3.04
In 0.5000 0.8553 0.4494  3 Rh 2.80-2.81, 1 In 3.04
Rh 0.0000 0.2170 0.7500  6 In 2.80-2.81, 3 Gd 2.88-3.09
Rh 0.0000 0.7830 0.2500  6 In 2.80-2.81, 3 Gd 2.88-3.09
Rh 0.5000 0.2830 0.2500  6 In 2.80-2.81, 3 Gd 2.88-3.09
Rh 0.5000 0.7170 0.7500  6 In 2.80-2.81, 3 Gd 2.88-3.09

Excess energy over the best structure of this formula in the dataset = 0.0000 eV per atom

## GdInRh (PBE)

Data for a geometry-optimized GdInRh structure.

Cell lengths 6.6420, 6.6420, 6.6420 Å; angles 90.00, 90.00, 90.00 degrees
Closest atoms and distances in Å follow each position.
Atoms (fractional coordinates):
Gd 0.0000 0.0000 0.0000  4 Rh 2.88
Gd 0.0000 0.5000 0.5000  4 Rh 2.88
Gd 0.5000 0.0000 0.5000  4 Rh 2.88
Gd 0.5000 0.5000 0.0000  4 Rh 2.88
In 0.0000 0.0000 0.5000  4 Rh 2.88
In 0.0000 0.5000 0.0000  4 Rh 2.88
In 0.5000 0.0000 0.0000  4 Rh 2.88
In 0.5000 0.5000 0.5000  4 Rh 2.88
Rh 0.2500 0.2500 0.2500  4 Gd 2.88, 4 In 2.88
Rh 0.2500 0.7500 0.7500  4 Gd 2.88, 4 In 2.88
Rh 0.7500 0.2500 0.7500  4 Gd 2.88, 4 In 2.88
Rh 0.7500 0.7500 0.2500  4 Gd 2.88, 4 In 2.88

## GdIn2Rh (PBE)

Data for a geometry-optimized GdIn2Rh structure.

Cell lengths 6.9649, 6.9649, 6.9649 Å; angles 90.00, 90.00, 90.00 degrees
Closest atoms and distances in Å follow each position.
Atoms (fractional coordinates):
Gd 0.0000 0.0000 0.0000  8 In 3.02
Gd 0.0000 0.5000 0.5000  8 In 3.02
Gd 0.5000 0.0000 0.5000  8 In 3.02
Gd 0.5000 0.5000 0.0000  8 In 3.02
In 0.2500 0.2500 0.2500  4 Gd 3.02, 4 Rh 3.02
In 0.2500 0.2500 0.7500  4 Gd 3.02, 4 Rh 3.02
In 0.2500 0.7500 0.2500  4 Gd 3.02, 4 Rh 3.02
In 0.2500 0.7500 0.7500  4 Gd 3.02, 4 Rh 3.02
In 0.7500 0.2500 0.2500  4 Gd 3.02, 4 Rh 3.02
In 0.7500 0.2500 0.7500  4 Gd 3.02, 4 Rh 3.02
In 0.7500 0.7500 0.2500  4 Gd 3.02, 4 Rh 3.02
In 0.7500 0.7500 0.7500  4 Gd 3.02, 4 Rh 3.02
Rh 0.0000 0.0000 0.5000  8 In 3.02
Rh 0.0000 0.5000 0.0000  8 In 3.02
Rh 0.5000 0.0000 0.0000  8 In 3.02
Rh 0.5000 0.5000 0.5000  8 In 3.02

Excess energy over the best structure of this formula in the dataset = 0.2128 eV per atom

| no. | energy of formation (eV per atom) | DOS at the Fermi energy (states/eV per cell) | total energy (eV/atom) |
| --- | --- | --- | --- |
| 1 | -0.746 | 4.87 | -8.80 |
| 2 | -0.622 | 7.20 | -7.35 |
| 3 | -0.597 | 6.01 | -8.65 |
| 4 | -0.409 | 6.35 | -7.14 |